Record 1
This record from the Alexandria database describes a crystal of SrPRh3 relaxed with PBEsol. The functional is SCAN.

Values from the calculation:
- SG = Pm-3m (221)

```
5
Lattice="4.442 0.000 0.000 0.000 4.442 0.000 0.000 0.000 4.442" Properties=species:S:1:pos:R:3 pbc="T T T"
Sr 0.000 0.000 0.000
P 2.221 2.221 2.221
Rh 0.000 2.221 2.221
Rh 2.221 0.000 2.221
Rh 2.221 2.221 0.000
```

Record 2
This record from the Alexandria database describes a crystal of SrPRh2 relaxed with PBEsol. The functional is SCAN.

Values from the calculation:
- SG = Immm (71)

```
8
Lattice="3.439 0.000 0.000 0.000 5.427 0.000 0.000 0.000 8.165" Properties=species:S:1:pos:R:3 pbc="T T T"
Sr 0.000 0.000 0.000
Sr 1.719 2.713 4.083
P 0.000 0.000 4.083
P 1.719 2.713 0.000
Rh 0.000 2.713 1.424
Rh 0.000 2.713 6.741
Rh 1.719 0.000 2.658
Rh 1.719 0.000 5.507
```

Record 3
This record from the Alexandria database describes a crystal of Ta2PRh relaxed with PBEsol. The functional is SCAN.

Values from the calculation:
- SG = P4/mmm (123)

```
4
Lattice="3.886 0.000 0.000 0.000 3.886 0.000 0.000 0.000 3.986" Properties=species:S:1:pos:R:3 pbc="T T T"
Ta 0.000 1.943 0.000
Ta 1.943 0.000 0.000
P 0.000 0.000 1.993
Rh 1.943 1.943 1.993
```

Record 4
This record from the Alexandria database describes a crystal of Ta3PRh relaxed with PBEsol. The functional is SCAN.

Values from the calculation:
- SG = Pm-3m (221)

```
5
Lattice="4.728 0.000 0.000 0.000 4.728 0.000 0.000 0.000 4.728" Properties=species:S:1:pos:R:3 pbc="T T T"
Ta 0.000 0.000 2.364
Ta 0.000 2.364 0.000
Ta 2.364 0.000 0.000
P 2.364 2.364 2.364
Rh 0.000 0.000 0.000
```

Number 1: uncorrected energy -1.0056 hartree per atom, M_tot 0.00 μB per cell. Number 2: uncorrected energy -0.9366 hartree per atom, M_tot 0.00 μB per cell. Number 3: uncorrected energy -1.6402 hartree per atom, M_tot 0.00 μB per cell. Number 4: uncorrected energy -1.7458 hartree per atom, M_tot 0.00 μB per cell.